Below is a geometry-optimized Lu2InPd structure, with properties calculated at the PBE level.

Output
Total DFT energy (no corrections) ... -19.48 eV/f.u.
Size of the total moment ... 0.000 μB per cell
DFT formation energy ... -0.63 eV/atom

Cell lengths 5.055, 5.055, 5.055 Å; angles 60.00, 60.00, 60.00 degrees
Fractional coordinates of all 4 atoms:
Lu1 0.250 0.250 0.250
Lu2 0.750 0.750 0.750
Pd1 0.500 0.500 0.500
In1 0.000 0.000 0.000